VASP calculation (GGA-PBE) on crystalline AcGdPaSn at its relaxed geometry.

Unit cell a=7.8657 b=7.8657 c=7.8657 alpha=90.00 beta=90.00 gamma=90.00
Space group F-43m (No. 216)
One atom of each set of equivalent atoms:
Ac  0.0000  0.0000  0.0000 [4 per cell]
Gd  0.0000  0.0000  0.5000 [4 per cell]
Pa  0.2500  0.2500  0.2500 [4 per cell]
Sn  0.2500  0.2500  0.7500 [4 per cell]

As for the density of states at the Fermi level: 32.59 states/eV/cell. The value obtained for the energy of formation from the pure elements is 141 meV per atom. The calculation puts the mass density at 10.0 g/cm³.

VASP calculation (GGA-PBE) on crystalline YBe3C at its relaxed geometry.

Unit cell a=5.3067 b=5.3067 c=5.3067 alpha=90.00 beta=90.00 gamma=90.00
Space group Pm-3m (No. 221)
One atom of each set of equivalent atoms:
Y  0.0000  0.0000  0.0000 [1 per cell]
Be  0.0000  0.0000  0.5000 [3 per cell]
C  0.5000  0.5000  0.5000 [1 per cell]

As for the density of states at the Fermi level: 5.05 states/eV/cell. The value obtained for the energy of formation from the pure elements is 3217 meV per atom. As for the offset from the most stable computed form: 2642 meV per atom. The calculation puts the mass density at 1.4 g/cm³.

VASP calculation (GGA-PBE) on crystalline TaAl3Cl at its relaxed geometry.

Unit cell a=5.2478 b=5.2478 c=5.2478 alpha=90.00 beta=90.00 gamma=90.00
Space group Pm-3m (No. 221)
One atom of each set of equivalent atoms:
Ta  0.0000  0.0000  0.0000 [1 per cell]
Al  0.0000  0.0000  0.5000 [3 per cell]
Cl  0.5000  0.5000  0.5000 [1 per cell]

As for the density of states at the Fermi level: 3.68 states/eV/cell. As for the uncorrected formation energy: 4.30 eV per formula unit. The calculation puts the mass density at 3.4 g/cm³.

VASP calculation (GGA-PBE) on crystalline Sr7Ag2Au2 at its relaxed geometry.

Unit cell a=9.1033 b=12.0104 c=7.7939 alpha=90.00 beta=90.00 gamma=90.00
Space group Cmmm (No. 65)
One atom of each set of equivalent atoms:
Sr  0.0000  0.0000  0.0000 [2 per cell]
Sr  0.0000  0.5000  0.2514 [4 per cell]
Sr  0.2500  0.2500  0.2635 [8 per cell]
Ag  0.1794  0.0000  0.5000 [4 per cell]
Au  0.0000  0.2844  0.0000 [4 per cell]

As for the density of states at the Fermi level: 14.65 states/eV/cell. The value obtained for the energy of formation from the pure elements is -309 meV per atom. As for the offset from the most stable computed form: 108 meV per atom. The calculation puts the mass density at 4.8 g/cm³.

VASP calculation (GGA-PBE) on crystalline PaTcB2 at its relaxed geometry.

Unit cell a=5.8720 b=5.3452 c=6.5370 alpha=90.00 beta=90.00 gamma=90.00
Space group Pnma (No. 62)
One atom of each set of equivalent atoms:
Pa  0.0011  0.2500  0.1572 [4 per cell]
Tc  0.1871  0.7500  0.3112 [4 per cell]
B  0.1291  0.0859  0.5340 [8 per cell]

As for the density of states at the Fermi level: 3.59 states/eV/cell. The value obtained for the energy of formation from the pure elements is -602 meV per atom. As for the offset from the most stable computed form: 0 meV per atom. The calculation puts the mass density at 11.4 g/cm³.

VASP calculation (GGA-PBE) on crystalline Ac4LaHg5 at its relaxed geometry.

Unit cell a=4.0208 b=4.0208 c=20.0866 alpha=90.00 beta=90.00 gamma=90.00
Space group P4/mmm (No. 123)
One atom of each set of equivalent atoms:
Ac  0.0000  0.0000  0.1015 [2 per cell]
Ac  0.0000  0.0000  0.3047 [2 per cell]
La  0.0000  0.0000  0.5000 [1 per cell]
Hg  0.5000  0.5000  0.0000 [1 per cell]
Hg  0.5000  0.5000  0.2028 [2 per cell]
Hg  0.5000  0.5000  0.4075 [2 per cell]

As for the density of states at the Fermi level: 11.81 states/eV/cell. The value obtained for the energy of formation from the pure elements is -479 meV per atom. The calculation puts the mass density at 10.5 g/cm³.

VASP calculation (GGA-PBE) on crystalline Ni2RuBr at its relaxed geometry.

Unit cell a=9.1524 b=2.8916 c=4.5054 alpha=90.00 beta=109.85 gamma=90.00
Space group C2/m (No. 12)
One atom of each set of equivalent atoms:
Ni  0.2435  0.0000  0.2632 [4 per cell]
Ru  0.0000  0.0000  0.5000 [2 per cell]
Br  0.0000  0.5000  0.0000 [2 per cell]

As for the density of states at the Fermi level: 10.80 states/eV/cell. As for the uncorrected formation energy: 2.92 eV per formula unit. As for the offset from the most stable computed form: 245 meV per atom. The calculation puts the mass density at 8.8 g/cm³.

VASP calculation (GGA-PBE) on crystalline Pm3Sb2S2 at its relaxed geometry.

Unit cell a=15.5863 b=4.3140 c=7.8543 alpha=90.00 beta=118.31 gamma=90.00
Space group C2/m (No. 12)
One atom of each set of equivalent atoms:
Pm  0.0000  0.0000  0.0000 [2 per cell]
Pm  0.2127  0.5000  0.7529 [4 per cell]
Sb  0.1396  0.5000  0.2986 [4 per cell]
S  0.1365  0.0000  0.8546 [4 per cell]

As for the density of states at the Fermi level: 5.13 states/eV/cell. As for the uncorrected formation energy: -9.37 eV per formula unit. The calculation puts the mass density at 5.3 g/cm³.